1.
## ZrTl2P (GGA-PBE)

Data for a geometry-optimized ZrTl2P structure.

The calculation puts the energy at -4.151 eV/atom. The calculation puts the formation energy at 0.5216 eV/atom.

CIF file:
```
data_ZrTl2P
_chemical_formula_sum 'Zr4 Tl8 P4'
_cell_length_a 7.235
_cell_length_b 7.235
_cell_length_c 7.235
_cell_angle_alpha 90.00
_cell_angle_beta 90.00
_cell_angle_gamma 90.00
_symmetry_space_group_name_H-M 'F m -3 m'
_symmetry_Int_Tables_number 225
_symmetry_space_group_name_Hall '-F 4 2 3'
loop_
_atom_site_label
_atom_site_type_symbol
_atom_site_fract_x
_atom_site_fract_y
_atom_site_fract_z
_atom_site_occupancy
Zr1 Zr 0.000 0.000 0.000 1
Tl1 Tl 0.250 0.250 0.250 1
P1 P 0.000 0.000 0.500 1
```

***

2.
## V5CuNi8 (GGA-PBE)

Data for a geometry-optimized V5CuNi8 structure.

The calculation puts the energy at -6.763 eV/atom. The calculation puts the formation energy at 0.0897 eV/atom.

CIF file:
```
data_V5CuNi8
_chemical_formula_sum 'V10 Cu2 Ni16'
_cell_length_a 7.188
_cell_length_b 7.188
_cell_length_c 6.740
_cell_angle_alpha 90.00
_cell_angle_beta 90.00
_cell_angle_gamma 90.00
_symmetry_space_group_name_H-M 'I -4'
_symmetry_Int_Tables_number 82
loop_
_symmetry_equiv_pos_as_xyz
'x,y,z'
'y,-x,-z'
'-x,-y,z'
'-y,x,-z'
'x+1/2,y+1/2,z+1/2'
'y+1/2,-x+1/2,-z+1/2'
'-x+1/2,-y+1/2,z+1/2'
'-y+1/2,x+1/2,-z+1/2'
loop_
_atom_site_label
_atom_site_type_symbol
_atom_site_fract_x
_atom_site_fract_y
_atom_site_fract_z
_atom_site_occupancy
V1 V 0.000 0.000 0.000 1
V2 V 0.093 0.186 0.595 1
Cu1 Cu 0.000 0.500 0.250 1
Ni1 Ni 0.061 0.343 0.910 1
Ni2 Ni 0.131 0.201 0.237 1
```

***

3.
## Ba2NiRu (GGA-PBE)

Data for a geometry-optimized Ba2NiRu structure.

The calculation puts the energy at -3.931 eV/atom. The calculation puts the formation energy at 0.7951 eV/atom.

CIF file:
```
data_Ba2NiRu
_chemical_formula_sum 'Ba8 Ni4 Ru4'
_cell_length_a 7.435
_cell_length_b 7.435
_cell_length_c 7.435
_cell_angle_alpha 90.00
_cell_angle_beta 90.00
_cell_angle_gamma 90.00
_symmetry_space_group_name_H-M 'F -4 3 m'
_symmetry_Int_Tables_number 216
_symmetry_space_group_name_Hall 'F -4 2 3'
loop_
_atom_site_label
_atom_site_type_symbol
_atom_site_fract_x
_atom_site_fract_y
_atom_site_fract_z
_atom_site_occupancy
Ba1 Ba 0.000 0.000 0.000 1
Ba2 Ba 0.250 0.250 0.250 1
Ni1 Ni 0.000 0.000 0.500 1
Ru1 Ru 0.250 0.250 0.750 1
```

***

4.
## GaSbSe2 (GGA-PBE)

Data for a geometry-optimized GaSbSe2 structure.

The calculation puts the energy at -3.640 eV/atom. For the formation energy from raw total energies, the calculation gives -0.111 eV per atom.

CIF file:
```
data_GaSbSe2
_chemical_formula_sum 'Ga4 Sb4 Se8'
_cell_length_a 7.298
_cell_length_b 7.298
_cell_length_c 7.751
_cell_angle_alpha 90.00
_cell_angle_beta 90.00
_cell_angle_gamma 90.00
_symmetry_space_group_name_H-M 'I -4 2 d'
_symmetry_Int_Tables_number 122
_symmetry_space_group_name_Hall 'I -4 2bw'
loop_
_atom_site_label
_atom_site_type_symbol
_atom_site_fract_x
_atom_site_fract_y
_atom_site_fract_z
_atom_site_occupancy
Ga1 Ga 0.000 0.000 0.000 1
Sb1 Sb 0.000 0.000 0.500 1
Se1 Se 0.226 0.250 0.125 1
```

***

5.
## LaTb4HoEr2 (GGA-PBE)

Data for a geometry-optimized LaTb4HoEr2 structure.

The calculation puts the energy at -4.625 eV/atom. The calculation puts the formation energy at 0.0193 eV/atom.

CIF file:
```
data_LaTb4HoEr2
_chemical_formula_sum 'La4 Tb16 Ho4 Er8'
_cell_length_a 12.326
_cell_length_b 7.142
_cell_length_c 12.355
_cell_angle_alpha 90.00
_cell_angle_beta 109.39
_cell_angle_gamma 90.00
_symmetry_space_group_name_H-M 'C 1 2/m 1'
_symmetry_Int_Tables_number 12
loop_
_symmetry_equiv_pos_as_xyz
'x,y,z'
'-x,-y,-z'
'-x,y,-z'
'x,-y,z'
'x+1/2,y+1/2,z'
'-x+1/2,-y+1/2,-z'
'-x+1/2,y+1/2,-z'
'x+1/2,-y+1/2,z'
loop_
_atom_site_label
_atom_site_type_symbol
_atom_site_fract_x
_atom_site_fract_y
_atom_site_fract_z
_atom_site_occupancy
La1 La 0.250 0.250 0.000 1
Tb1 Tb 0.002 0.250 0.253 1
Tb2 Tb 0.248 0.000 0.745 1
Tb3 Tb 0.248 0.500 0.746 1
Ho1 Ho 0.000 0.500 0.000 1
Ho2 Ho 0.000 0.500 0.500 1
Er1 Er 0.000 0.000 0.000 1
Er2 Er 0.000 0.000 0.500 1
Er3 Er 0.250 0.250 0.500 1
```

***

6.
## Ce2InTe4 (GGA-PBE)

Data for a geometry-optimized Ce2InTe4 structure.

The calculation puts the energy at -4.782 eV/atom. For the formation energy from raw total energies, the calculation gives -0.900 eV per atom.

CIF file:
```
data_Ce2InTe4
_chemical_formula_sum 'Ce4 In2 Te8'
_cell_length_a 8.290
_cell_length_b 8.319
_cell_length_c 8.822
_cell_angle_alpha 90.00
_cell_angle_beta 117.25
_cell_angle_gamma 90.00
_symmetry_space_group_name_H-M 'P 1 21/m 1'
_symmetry_Int_Tables_number 11
loop_
_symmetry_equiv_pos_as_xyz
'x,y,z'
'-x,-y,-z'
'-x,y+1/2,-z'
'x,-y+1/2,z'
loop_
_atom_site_label
_atom_site_type_symbol
_atom_site_fract_x
_atom_site_fract_y
_atom_site_fract_z
_atom_site_occupancy
Ce1 Ce 0.068 0.250 0.142 1
Ce2 Ce 0.422 0.750 0.838 1
In1 In 0.158 0.750 0.294 1
Te1 Te 0.028 0.750 0.559 1
Te2 Te 0.253 0.001 0.997 1
Te3 Te 0.455 0.250 0.441 1
```

***

7.
## YPu4Ir4 (GGA-PBE)

Data for a geometry-optimized YPu4Ir4 structure.

The calculation puts the energy at -11.405 eV/atom. The calculation puts the formation energy at -0.3793 eV/atom.

CIF file:
```
data_YPu4Ir4
_chemical_formula_sum 'Y2 Pu8 Ir8'
_cell_length_a 8.936
_cell_length_b 8.936
_cell_length_c 5.551
_cell_angle_alpha 90.00
_cell_angle_beta 90.00
_cell_angle_gamma 90.00
_symmetry_space_group_name_H-M 'I 4/m'
_symmetry_Int_Tables_number 87
_symmetry_space_group_name_Hall '-I 4'
loop_
_atom_site_label
_atom_site_type_symbol
_atom_site_fract_x
_atom_site_fract_y
_atom_site_fract_z
_atom_site_occupancy
Y1 Y 0.000 0.000 0.000 1
Pu1 Pu 0.103 0.691 0.500 1
Ir1 Ir 0.112 0.697 0.000 1
```

***

8.
## TaCdInGe2 (GGA-PBE)

Data for a geometry-optimized TaCdInGe2 structure.

The calculation puts the energy at -3.611 eV/atom. The calculation puts the formation energy at 1.3376 eV/atom.

CIF file:
```
data_TaCdInGe2
_chemical_formula_sum 'Ta1 Cd1 In1 Ge2'
_cell_length_a 4.944
_cell_length_b 4.944
_cell_length_c 5.426
_cell_angle_alpha 90.00
_cell_angle_beta 90.00
_cell_angle_gamma 90.00
_symmetry_space_group_name_H-M 'P 4/m m m'
_symmetry_Int_Tables_number 123
_symmetry_space_group_name_Hall '-P 4 2'
loop_
_atom_site_label
_atom_site_type_symbol
_atom_site_fract_x
_atom_site_fract_y
_atom_site_fract_z
_atom_site_occupancy
Ta1 Ta 0.000 0.000 0.000 1
Cd1 Cd 0.000 0.000 0.500 1
In1 In 0.500 0.500 0.000 1
Ge1 Ge 0.000 0.500 0.500 1
```

***

Total magnetization per entry: 0.6, 0.0, 1.8, 0.0, 0.0, 1.0, 19.2, 0.2 μB per formula unit